# ZrCrW2 (PBE, relaxed)
# calculated volume = 17.96 A^3/atom
# calculated density = 11.81 g/cm3
# distance to the lowest polymorph of the same formula = 0.734 eV per atom
# energy of formation from the pure elements = 0.8549 eV per atom
data_ZrCrW2
_chemical_formula_sum 'Zr4 Cr4 W8'
_symmetry_space_group_name_H-M 'I -4 2 d'
_symmetry_Int_Tables_number 122
_symmetry_space_group_name_Hall 'I -4 2bw'
_cell_length_a 3.756
_cell_length_b 3.756
_cell_length_c 20.376
_cell_angle_alpha 90.00
_cell_angle_beta 90.00
_cell_angle_gamma 90.00
loop_
_atom_site_label
_atom_site_type_symbol
_atom_site_fract_x
_atom_site_fract_y
_atom_site_fract_z
Zr1 Zr 0.000 0.000 0.000
Cr1 Cr 0.000 0.000 0.500
W1 W 0.244 0.250 0.625

=====

# ZrCr3W (PBE, relaxed)
# calculated volume = 19.23 A^3/atom
# calculated density = 7.44 g/cm3
# distance to the lowest polymorph of the same formula = 0.000 eV per atom
# energy of formation from the pure elements = 1.2448 eV per atom
data_ZrCr3W
_chemical_formula_sum 'Zr1 Cr3 W1'
_symmetry_space_group_name_H-M 'P m -3 m'
_symmetry_Int_Tables_number 221
_symmetry_space_group_name_Hall '-P 4 2 3'
_cell_length_a 4.581
_cell_length_b 4.581
_cell_length_c 4.581
_cell_angle_alpha 90.00
_cell_angle_beta 90.00
_cell_angle_gamma 90.00
loop_
_atom_site_label
_atom_site_type_symbol
_atom_site_fract_x
_atom_site_fract_y
_atom_site_fract_z
Zr1 Zr 0.000 0.000 0.000
Cr1 Cr 0.000 0.500 0.500
W1 W 0.500 0.500 0.500

=====

# ZrCrW (PBE, relaxed)
# calculated volume = 17.00 A^3/atom
# calculated density = 10.65 g/cm3
# distance to the lowest polymorph of the same formula = 0.000 eV per atom
# energy of formation from the pure elements = -0.0784 eV per atom
data_ZrCrW
_chemical_formula_sum 'Zr4 Cr4 W4'
_symmetry_space_group_name_H-M 'I m m a'
_symmetry_Int_Tables_number 74
_symmetry_space_group_name_Hall '-I 2b 2'
_cell_length_a 5.193
_cell_length_b 5.333
_cell_length_c 7.365
_cell_angle_alpha 90.00
_cell_angle_beta 90.00
_cell_angle_gamma 90.00
loop_
_atom_site_label
_atom_site_type_symbol
_atom_site_fract_x
_atom_site_fract_y
_atom_site_fract_z
Zr1 Zr 0.000 0.250 0.123
Cr1 Cr 0.250 0.250 0.750
W1 W 0.000 0.000 0.500